Record 1
Nd3GaGe6Pt2 | PBE-GGA | relaxed

abc: 5.9890 5.9890 8.3743
angles: 90.00 90.00 120.00
Sites, in units of the cell vectors:
Nd 0.6667 0.3333 0.3723
Nd 0.3333 0.6667 0.6277
Nd 0.0000 0.0000 0.0000
Pt 0.3333 0.6667 0.0147
Pt 0.6667 0.3333 0.9853
Ge 0.8108 0.6216 0.7272
Ge 0.6216 0.8108 0.2728
Ge 0.1892 0.8108 0.2728
Ge 0.8108 0.1892 0.7272
Ge 0.3784 0.1892 0.7272
Ge 0.1892 0.3784 0.2728
Ga 0.0000 0.0000 0.5000

Properties
* calculated volume: 21.68 Å³/atom
* ΔE_f: -0.389 eV/atom
* VASP energy: -5.148 eV/atom

***

Record 2
K2OsW | PBE-GGA | relaxed

abc: 12.4585 12.4585 9.1198
angles: 46.92 46.92 90.00
Each line ends with the local moment (μB).
Sites, in units of the cell vectors:
W 0.2500 0.7500 0.5000  1.42
W 0.5000 0.5000 0.0000  1.42
Os 0.7500 0.2500 0.5000  -0.63
Os 0.0000 0.0000 0.0000  -0.63
K 0.8750 0.0447 0.7500  0.01
K 0.9553 0.6250 0.2500  0.01
K 0.3750 0.2053 0.7500  0.01
K 0.7947 0.1250 0.2500  0.01

Properties
* calculated volume: 45.76 Å³/atom
* ΔE_f: 1.748 eV/atom
* VASP energy: -4.846 eV/atom

***

Record 3
SrInPb2 | PBE-GGA | relaxed

abc: 10.4944 10.4944 10.4944
angles: 21.33 21.33 21.33
Sites, in units of the cell vectors:
In 0.7500 0.7500 0.7500
Pb 0.4929 0.4929 0.4929
Pb 0.0071 0.0071 0.0071
Sr 0.2500 0.2500 0.2500

Properties
* calculated volume: 33.48 Å³/atom
* ΔE_f: -0.100 eV/atom
* VASP energy: -3.059 eV/atom

***

Record 4
TlCo2Re | PBE-GGA | relaxed

abc: 8.6641 8.6641 8.6641
angles: 18.98 18.98 18.98
Each line ends with the local moment (μB).
Sites, in units of the cell vectors:
Tl 0.7500 0.7500 0.7500  -0.03
Co 0.5069 0.5069 0.5069  0.96
Co 0.9931 0.9931 0.9931  0.96
Re 0.2500 0.2500 0.2500  0.06

Properties
* calculated volume: 15.03 Å³/atom
* ΔE_f: 0.593 eV/atom
* VASP energy: -6.664 eV/atom